## HfNi2F8 (PBE+U)

Data for an optimized crystal structure of HfNi2F8.

Space group   C2/m
Fermi-level density of states   0.00 states/eV per atom
Total energy   -5.3123 eV/atom

abc: 5.131 5.131 5.256
angles: 93.69 93.69 114.12
Sites, in units of the cell vectors:
Hf 0.000 0.000 0.000
Ni 0.321 0.679 0.500
Ni 0.679 0.321 0.500
F 0.056 0.338 0.659
F 0.226 0.774 0.000
F 0.318 0.318 0.241
F 0.338 0.056 0.659
F 0.662 0.944 0.341
F 0.682 0.682 0.759
F 0.774 0.226 0.000
F 0.944 0.662 0.341